# 1
4
Lattice="-0.812 -4.568 -1.650 3.778 -2.795 -1.469 1.390 -3.876 2.700" Properties=species:S:1:pos:R:3 comment="CaNdIr2 PBE-GGA relaxed" magmom_total_mub_per_cell=0.00 n_ef_per_ev_atom=0.280 total_energy_ev_per_atom=-6.47 e_form_ev_per_atom=-0.348 vol_a3_per_fu=84.4 pbc="T T T"
Ca 2.178 -5.620 -0.209
Nd 0.000 0.000 0.000
Ir 3.267 -8.430 -0.314
Ir 1.089 -2.810 -0.105

---

# 2
10
Lattice="4.743 0.000 -1.506 -0.073 7.018 -0.230 -0.120 -0.076 7.848" Properties=species:S:1:pos:R:3 comment="CaNd5Ir4 PBE-GGA relaxed" magmom_total_mub_per_cell=0.00 n_ef_per_ev_atom=0.538 de_polymorph_mev_per_atom=0 total_energy_ev_per_atom=-6.66 e_form_ev_per_atom=-0.531 vol_a3_per_fu=259.9 pbc="T T T"
Ir 0.008 1.838 0.026
Ir 1.469 1.710 4.628
Ir 4.542 5.104 6.085
Ir 3.082 5.232 1.484
Ca 2.372 0.000 -0.753
Nd 3.827 6.883 3.833
Nd 0.723 0.059 2.279
Nd 0.718 3.576 2.264
Nd 3.832 3.366 3.848
Nd 2.335 3.509 -0.868

---

# 3
3
Lattice="-5.105 3.088 -2.424 -2.341 -3.389 0.613 0.321 2.878 2.992" Properties=species:S:1:pos:R:3 comment="CaNdIr PBE-GGA relaxed" magmom_total_mub_per_cell=0.00 n_ef_per_ev_atom=0.353 de_polymorph_mev_per_atom=104 total_energy_ev_per_atom=-5.55 e_form_ev_per_atom=-0.338 vol_a3_per_fu=96.7 pbc="T T T"
Nd -1.738 1.498 1.643
Ir -0.039 0.024 -0.019
Ca -5.348 1.056 -0.443

---

# 4
12
Lattice="-0.292 5.140 -1.706 -2.412 1.159 -4.718 -8.649 3.051 2.053" Properties=species:S:1:pos:R:3 comment="CaNd3Ir8 PBE-GGA relaxed" magmom_total_mub_per_cell=0.00 n_ef_per_ev_atom=1.187 total_energy_ev_per_atom=-7.91 e_form_ev_per_atom=-0.642 vol_a3_per_fu=225.8 pbc="T T T"
Ca -5.621 6.658 -4.844
Ir -2.952 5.902 -3.276
Ir -7.272 7.424 -2.253
Ir -8.332 5.433 -3.759
Ir -2.806 3.327 -2.422
Ir -4.288 2.516 -0.308
Ir -8.478 8.003 -4.612
Ir -4.014 3.907 -4.785
Ir -9.969 7.192 -2.490
Nd -5.633 4.670 -2.208
Nd -8.570 5.031 -0.619
Nd -2.750 6.305 -6.398

---

# 5
12
Lattice="-4.044 4.809 -0.610 -2.053 -1.311 3.276 7.294 7.072 7.402" Properties=species:S:1:pos:R:3 comment="CaNdIr PBE-GGA relaxed" magmom_total_mub_per_cell=0.00 n_ef_per_ev_atom=0.391 de_polymorph_mev_per_atom=11 total_energy_ev_per_atom=-5.64 e_form_ev_per_atom=-0.431 vol_a3_per_fu=81.0 pbc="T T T"
Ca -2.236 4.720 3.031
Ca 2.438 8.911 5.094
Ca -0.214 2.315 3.336
Ca 4.459 6.507 5.399
Ir 3.358 7.961 7.835
Ir 3.508 3.742 6.241
Ir 0.737 5.080 2.495
Ir 0.887 0.860 0.901
Nd -1.813 2.607 -0.093
Nd 0.807 5.487 5.246
Nd 6.058 6.214 8.828
Nd 3.439 3.334 3.490

---

# 6
4
Lattice="5.256 0.000 0.000 2.628 4.552 0.000 2.628 1.517 4.291" Properties=species:S:1:pos:R:3 comment="CaPmNdIr PBE-GGA relaxed" magmom_total_mub_per_cell=0.00 n_ef_per_ev_atom=0.794 total_energy_ev_per_atom=-5.20 e_form_ev_per_atom=-0.100 vol_a3_per_fu=102.7 pbc="T T T"
Ir 7.884 4.552 3.219
Nd 0.000 0.000 0.000
Ca 2.628 1.517 1.073
Pm 5.256 3.034 2.146

---

# 7
4
Lattice="-2.886 -2.756 2.975 1.703 -1.492 4.432 -1.867 1.966 4.174" Properties=species:S:1:pos:R:3 comment="CaNdIrPt PBE-GGA relaxed" magmom_total_mub_per_cell=0.00 n_ef_per_ev_atom=0.513 total_energy_ev_per_atom=-6.10 e_form_ev_per_atom=-0.678 vol_a3_per_fu=87.2 pbc="T T T"
Pt 0.000 0.000 0.000
Ir -1.525 -1.141 5.791
Ca -0.762 -0.570 2.895
Nd -2.287 -1.711 8.686

---

# 8
4
Lattice="4.136 0.000 0.000 0.000 4.191 0.000 -2.068 0.000 5.611" Properties=species:S:1:pos:R:3 comment="CaNdZnIr PBE-GGA relaxed" magmom_total_mub_per_cell=0.00 n_ef_per_ev_atom=0.678 de_polymorph_mev_per_atom=0 total_energy_ev_per_atom=-4.69 e_form_ev_per_atom=-0.462 vol_a3_per_fu=97.3 pbc="T T T"
Zn 2.068 2.095 0.739
Nd 2.068 2.095 4.070
Ir 0.000 0.000 4.792
Ca 0.000 0.000 1.622

---

# 9
4
Lattice="-4.757 -0.620 -1.509 -1.842 -4.631 -0.670 -3.432 -1.827 3.190" Properties=species:S:1:pos:R:3 comment="CaNdZnIr PBE-GGA relaxed" magmom_total_mub_per_cell=0.00 n_ef_per_ev_atom=0.890 de_polymorph_mev_per_atom=93 total_energy_ev_per_atom=-4.60 e_form_ev_per_atom=-0.369 vol_a3_per_fu=89.9 pbc="T T T"
Zn 0.000 0.000 0.000
Ca -2.508 -1.769 0.253
Ir -5.015 -3.539 0.506
Nd -7.523 -5.308 0.758

---

# 10
5
Lattice="-3.162 -3.126 1.062 1.860 -0.470 4.150 -2.729 3.302 1.597" Properties=species:S:1:pos:R:3 comment="CaNiIr3 PBE-GGA relaxed" magmom_total_mub_per_cell=3.24 n_ef_per_ev_atom=1.624 de_polymorph_mev_per_atom=0 total_energy_ev_per_atom=-6.07 e_form_ev_per_atom=0.806 vol_a3_per_fu=95.5 pbc="T T T"
Ir -1.364 1.651 0.799
Ir 0.930 -0.235 2.075
Ir -1.581 -1.563 0.531
Ca -2.015 -0.147 3.405
Ni 0.000 0.000 0.000

---

# 11
4
Lattice="2.978 0.000 0.000 0.000 2.977 0.000 0.000 0.000 6.986" Properties=species:S:1:pos:R:3 comment="CaNi2Ir PBE-GGA relaxed" magmom_total_mub_per_cell=0.96 n_ef_per_ev_atom=1.343 total_energy_ev_per_atom=-5.49 e_form_ev_per_atom=0.116 vol_a3_per_fu=61.9 pbc="T T T"
Ni 0.000 0.000 0.084
Ni 1.489 1.488 1.320
Ca 0.000 0.000 3.441
Ir 1.489 1.488 5.634

---

# 12
4
Lattice="3.336 0.000 0.026 0.000 5.232 0.000 -0.034 -2.616 4.270" Properties=species:S:1:pos:R:3 comment="CaNi2Ir PBE-GGA relaxed" magmom_total_mub_per_cell=0.85 n_ef_per_ev_atom=1.714 total_energy_ev_per_atom=-5.12 e_form_ev_per_atom=0.486 vol_a3_per_fu=74.5 pbc="T T T"
Ni 3.314 2.616 2.589
Ni -0.012 0.000 1.707
Ir 1.668 0.000 0.013
Ca 1.668 2.616 0.013

---

# 13
4
Lattice="4.425 0.000 0.000 2.212 3.832 0.000 2.212 1.277 3.613" Properties=species:S:1:pos:R:3 comment="CaNi2Ir PBE-GGA relaxed" magmom_total_mub_per_cell=1.36 n_ef_per_ev_atom=1.692 total_energy_ev_per_atom=-5.30 e_form_ev_per_atom=0.308 vol_a3_per_fu=61.3 pbc="T T T"
Ni 6.637 3.832 2.710
Ni 0.000 0.000 0.000
Ca 4.425 2.555 1.806
Ir 2.212 1.277 0.903

---

# 14
6
Lattice="0.000 4.213 4.213 4.213 0.000 4.213 4.213 4.213 0.000" Properties=species:S:1:pos:R:3 comment="Ca4NiIr PBE-GGA relaxed" magmom_total_mub_per_cell=0.00 n_ef_per_ev_atom=0.877 total_energy_ev_per_atom=-2.88 e_form_ev_per_atom=0.896 vol_a3_per_fu=149.6 pbc="T T T"
Ca 5.261 3.165 5.261
Ca 3.165 3.165 3.165
Ca 3.165 5.261 5.261
Ca 5.261 5.261 3.165
Ni 0.000 0.000 0.000
Ir 6.320 6.320 6.320

---

# 15
4
Lattice="-2.283 -0.212 -3.622 -1.096 -2.418 0.832 -4.336 1.252 2.659" Properties=species:S:1:pos:R:3 comment="CaNi2Ir PBE-GGA relaxed" magmom_total_mub_per_cell=0.00 n_ef_per_ev_atom=0.960 total_energy_ev_per_atom=-5.56 e_form_ev_per_atom=0.051 vol_a3_per_fu=60.2 pbc="T T T"
Ni -4.406 0.694 2.736
Ni -2.278 0.053 -1.104
Ir -5.606 -0.926 1.050
Ca -2.477 -0.529 1.592

---

# 16
6
Lattice="4.977 0.000 -0.001 0.000 4.429 0.000 -1.585 0.000 4.956" Properties=species:S:1:pos:R:3 comment="CaNiIr PBE-GGA relaxed" magmom_total_mub_per_cell=0.00 n_ef_per_ev_atom=0.829 de_polymorph_mev_per_atom=97 total_energy_ev_per_atom=-5.83 e_form_ev_per_atom=-0.282 vol_a3_per_fu=54.6 pbc="T T T"
Ni -0.238 1.107 2.061
Ni 3.630 3.322 2.893
Ca -0.299 1.107 4.688
Ca 3.691 3.322 0.267
Ir 1.079 3.322 2.411
Ir 2.313 1.107 2.544

---

# 17
4
Lattice="4.541 0.001 0.000 0.681 4.489 0.000 -2.611 -2.245 2.960" Properties=species:S:1:pos:R:3 comment="CaNi2Ir PBE-GGA relaxed" magmom_total_mub_per_cell=0.85 n_ef_per_ev_atom=1.885 total_energy_ev_per_atom=-5.45 e_form_ev_per_atom=0.153 vol_a3_per_fu=60.3 pbc="T T T"
Ir 2.270 0.000 1.480
Ni 2.611 2.245 0.000
Ni 0.000 0.000 0.000
Ca 0.340 2.245 1.480

---

# 18
8
Lattice="4.372 0.000 0.000 0.000 4.372 0.000 2.186 2.186 8.362" Properties=species:S:1:pos:R:3 comment="CaNi2Ir PBE-GGA relaxed" magmom_total_mub_per_cell=0.00 n_ef_per_ev_atom=1.107 total_energy_ev_per_atom=-5.35 e_form_ev_per_atom=0.252 vol_a3_per_fu=79.9 pbc="T T T"
Ca 2.186 2.186 0.000
Ca 2.186 4.372 4.181
Ni 4.669 3.279 2.091
Ni 5.465 1.888 6.272
Ni 4.074 1.093 2.091
Ni 3.279 2.483 6.272
Ir 4.372 2.186 4.181
Ir 0.000 0.000 0.000

---

# 19
4
Lattice="-6.610 -4.392 3.698 -4.501 -6.260 4.150 -4.913 -4.104 5.973" Properties=species:S:1:pos:R:3 comment="CaNi2Ir PBE-GGA relaxed" magmom_total_mub_per_cell=0.96 n_ef_per_ev_atom=1.311 total_energy_ev_per_atom=-5.18 e_form_ev_per_atom=0.422 vol_a3_per_fu=60.6 pbc="T T T"
Ir -11.872 -10.932 10.240
Ca -8.052 -7.414 6.945
Ni -15.981 -14.715 13.783
Ni -4.155 -3.826 3.584

---

# 20
3
Lattice="-2.934 -0.832 2.674 1.995 -3.022 -1.827 2.840 -0.008 3.114" Properties=species:S:1:pos:R:3 comment="CaNiIr PBE-GGA relaxed" magmom_total_mub_per_cell=0.88 n_ef_per_ev_atom=1.060 de_polymorph_mev_per_atom=282 total_energy_ev_per_atom=-5.64 e_form_ev_per_atom=-0.097 vol_a3_per_fu=60.0 pbc="T T T"
Ir 0.129 -1.566 2.731
Ca 0.000 0.000 0.000
Ni 1.772 -2.296 1.230